Density functional theory data (PBE-GGA) for crystalline K2Na6Ag at its relaxed geometry.

Geometry as extended XYZ:
```
9
Lattice="4.550 0.000 0.000 0.000 8.243 0.000 0.000 -4.122 10.339" Properties=species:S:1:pos:R:3 pbc="T T T"
K 0.000 4.335 4.306
K 0.000 0.214 6.033
Na 0.000 3.050 8.544
Na 2.275 4.961 0.000
Na 2.275 -2.671 7.636
Na 0.000 2.140 0.000
Na 0.000 7.171 1.795
Na 2.275 1.450 2.702
Ag 2.275 8.201 0.000
```

Output
For the total magnetic moment, the calculation gives 0.00 μB per cell. The formation energy comes out at 0.03 eV/atom. As for the crystal system: orthorhombic. Its space-group type is Amm2, No. 38. The calculation puts the uncorrected energy at -12.65 eV for the cell shown. For the density of states at the Fermi level, the calculation gives 4.156 states/eV/cell.

---

Density functional theory data (PBE-GGA) for crystalline Tb5Ce3Se8 at its relaxed geometry.

Geometry as extended XYZ:
```
16
Lattice="7.158 0.000 4.100 2.405 6.742 4.100 0.004 0.003 8.292" Properties=species:S:1:pos:R:3 pbc="T T T"
Se 3.581 5.018 10.345
Se 7.144 5.037 12.422
Se 7.174 5.058 8.172
Se 3.638 5.058 6.147
Se 2.422 1.708 4.069
Se 5.986 1.727 6.147
Se 5.929 1.687 10.345
Se 2.393 1.687 8.320
Ce 1.204 3.372 6.196
Ce 3.581 0.001 6.196
Ce 0.002 0.001 4.146
Tb 4.783 3.372 8.246
Tb 3.579 0.000 2.050
Tb 1.202 3.371 2.050
Tb 4.781 3.371 4.100
Tb 0.000 0.000 0.000
```

Output
The formation energy from raw total energies is -1.799 eV/atom. For the total magnetic moment, the calculation gives 2.83 μB per cell. As for the crystal system: trigonal. Its space-group type is R-3m, No. 166. The calculation puts the uncorrected energy at -97.61 eV for the cell shown. For the density of states at the Fermi level, the calculation gives 21.093 states/eV/cell.

---

Density functional theory data (PBE-GGA) for crystalline MgFe2Cl at its relaxed geometry.

Geometry as extended XYZ:
```
4
Lattice="4.171 -0.775 1.315 1.269 1.087 4.115 0.833 -3.185 2.981" Properties=species:S:1:pos:R:3 pbc="T T T"
Fe 4.705 -2.155 6.308
Fe 1.568 -0.718 2.103
Cl 3.137 -1.437 4.205
Mg 0.000 0.000 0.000
```

Output
The formation energy from raw total energies is 0.753 eV/atom. For the total magnetic moment, the calculation gives 4.93 μB per cell. As for the crystal system: cubic. Its space-group type is Fm-3m, No. 225. Its energy above the most stable polymorph in this dataset is 828 meV per atom. The calculation puts the uncorrected energy at -17.35 eV for the cell shown. For the density of states at the Fermi level, the calculation gives 3.107 states/eV/cell.

---

Density functional theory data (PBE-GGA) for crystalline ZrSi2Ni6 at its relaxed geometry.

Geometry as extended XYZ:
```
9
Lattice="-1.443 2.900 -1.793 -3.017 -1.993 -0.794 -3.519 2.554 6.961" Properties=species:S:1:pos:R:3 pbc="T T T"
Si -5.250 2.645 4.681
Si -2.729 0.816 -0.307
Ni -3.199 3.248 4.004
Ni -3.989 1.730 2.187
Ni -3.986 0.802 4.504
Ni -1.763 2.206 1.164
Ni -2.550 -0.240 1.663
Ni -1.759 1.277 3.481
Zr 0.000 0.000 0.000
```

Output
The formation energy from raw total energies is -0.420 eV/atom. For the total magnetic moment, the calculation gives 1.35 μB per cell. As for the crystal system: tetragonal. Its space-group type is P4/mmm, No. 123. Its energy above the most stable polymorph in this dataset is 0 meV per atom. The calculation puts the uncorrected energy at -57.86 eV for the cell shown. For the density of states at the Fermi level, the calculation gives 14.651 states/eV/cell.

---

Density functional theory data (PBE-GGA) for crystalline ZrCdB2S at its relaxed geometry.

Geometry as extended XYZ:
```
5
Lattice="4.609 0.000 0.000 0.000 4.923 0.000 0.000 0.000 4.609" Properties=species:S:1:pos:R:3 pbc="T T T"
Zr 0.000 0.000 0.000
S 0.000 2.462 0.000
B 2.304 0.000 0.000
B 0.000 0.000 2.304
Cd 2.304 2.462 2.304
```

Output
The formation energy from raw total energies is 1.010 eV/atom. For the total magnetic moment, the calculation gives 0.00 μB per cell. As for the crystal system: tetragonal. Its space-group type is P4/mmm, No. 123. The calculation puts the uncorrected energy at -21.90 eV for the cell shown. For the density of states at the Fermi level, the calculation gives 3.110 states/eV/cell.